## AlSi2Pb (PBE)

Data for a relaxed structure of AlSi2Pb.

**DOS at the Fermi energy**: 1.61 states/eV per cell
**Calculated total energy**: -4.136 eV per atom
**Uncorrected formation energy**: 0.4384 eV/atom
**SG**: Imm2, No. 44

Cell lengths 5.5794, 5.5794, 5.5794 Å; angles 143.10, 126.05, 67.16 degrees
Last column: nearest neighbours and their distance in Å.
Sites, in units of the cell vectors:
Si 0.9493 0.9493 0.0000  2 Si 2.42
Si 0.7708 0.2708 0.5000  2 Si 2.42
Pb 0.2430 0.7430 0.5000  8 Si 3.10-3.25, 4 Al 3.17-3.25
Al 0.5369 0.5369 0.0000  2 Si 2.80

=====

## Al2SiPb2 (PBE)

Data for a relaxed structure of Al2SiPb2.

**DOS at the Fermi energy**: 3.31 states/eV per cell
**Calculated total energy**: -3.647 eV per atom
**Uncorrected formation energy**: 0.4178 eV/atom
**SG**: I4/mmm, No. 139

Cell lengths 3.7611, 3.7611, 9.0989 Å; angles 78.07, 78.07, 90.00 degrees
Last column: nearest neighbours and their distance in Å.
Sites, in units of the cell vectors:
Al 0.2500 0.7500 0.5000  4 Al 2.66
Al 0.7500 0.2500 0.5000  4 Al 2.66
Pb 0.4029 0.4029 0.1941  4 Si 3.15, 4 Al 3.26, 1 Pb 3.38
Pb 0.5971 0.5971 0.8059  4 Si 3.15, 4 Al 3.26, 1 Pb 3.38
Si 0.0000 0.0000 0.0000  8 Pb 3.15

=====

## AlSiSnPb2 (PBE)

Data for a relaxed structure of AlSiSnPb2.

**DOS at the Fermi energy**: 2.81 states/eV per cell
**Calculated total energy**: -3.371 eV per atom
**Uncorrected formation energy**: 0.7456 eV/atom
**SG**: P4/mmm, No. 123

Cell lengths 5.3752, 5.2292, 5.3752 Å; angles 90.00, 90.00, 90.00 degrees
Last column: nearest neighbours and their distance in Å.
Sites, in units of the cell vectors:
Pb 0.5000 0.0000 0.0000  2 Al 2.69
Pb 0.0000 0.0000 0.5000  2 Al 2.69
Sn 0.0000 0.5000 0.0000  2 Al 2.61
Al 0.0000 0.0000 0.0000  2 Sn 2.61, 4 Pb 2.69
Si 0.5000 0.5000 0.5000  8 Pb 3.75, 4 Sn 3.80